Record 1
Li4TlBi: optimized geometry, GGA-PBE.

- Energy of formation: -333 meV per atom
- Spin magnetization: 0.00 μB/cell
- Electronic total energy: -15.90 eV for the cell shown
- Space group: C2/m, No. 12

Cell: 4.4168 4.8848 7.4853 Å, 103.33 72.84 63.12°
Atoms (fractional coordinates):
Bi  0.5000  0.5000  0.5000
Tl  0.0000  0.0000  0.0000
Li  0.8432  0.4982  0.8154
Li  0.1568  0.5018  0.1846
Li  0.3374  0.9968  0.3285
Li  0.6626  0.0032  0.6715


Record 2
Li2TlBi2: optimized geometry, GGA-PBE.

- Energy of formation: -226 meV per atom
- Spin magnetization: 0.00 μB/cell
- Electronic total energy: -15.09 eV for the cell shown
- Space group: P-3m1, No. 164

Cell: 5.0842 5.0842 5.8156 Å, 90.00 90.00 120.00°
Atoms (fractional coordinates):
Tl  0.0000  0.0000  0.0000
Bi  0.6667  0.3333  0.3576
Bi  0.3333  0.6667  0.6424
Li  0.6667  0.3333  0.8548
Li  0.3333  0.6667  0.1452


Record 3
Li8Tl3Bi4: optimized geometry, GGA-PBE.

- Energy of formation: -375 meV per atom
- Spin magnetization: 0.00 μB/cell
- Electronic total energy: -87.13 eV for the cell shown
- Space group: Fm-3m, No. 225

Cell: 9.9495 9.9495 9.9495 Å, 60.00 60.00 60.00°
Atoms (fractional coordinates):
Li  0.3623  0.3623  0.9130
Li  0.0870  0.6377  0.6377
Li  0.1298  0.1298  0.1298
Li  0.1298  0.6105  0.1298
Li  0.3623  0.9130  0.3623
Li  0.3895  0.8702  0.8702
Li  0.6105  0.1298  0.1298
Li  0.1298  0.1298  0.6105
Li  0.3623  0.3623  0.3623
Li  0.6377  0.6377  0.6377
Li  0.8702  0.8702  0.8702
Li  0.6377  0.0870  0.6377
Li  0.8702  0.8702  0.3895
Li  0.9130  0.3623  0.3623
Li  0.6377  0.6377  0.0870
Li  0.8702  0.3895  0.8702
Bi  0.5000  0.5000  0.0000
Bi  0.5000  0.5000  0.5000
Bi  0.0000  0.5000  0.0000
Bi  0.5000  0.0000  0.0000
Bi  0.5000  0.0000  0.5000
Bi  0.0000  0.5000  0.5000
Bi  0.0000  0.0000  0.0000
Bi  0.0000  0.0000  0.5000
Tl  0.7456  0.2544  0.2544
Tl  0.2544  0.7456  0.7456
Tl  0.7456  0.7456  0.2544
Tl  0.7456  0.2544  0.7456
Tl  0.2544  0.7456  0.2544
Tl  0.2544  0.2544  0.7456


Record 4
LiTlZnBi2: optimized geometry, GGA-PBE.

- Energy of formation: 581 meV per atom
- Spin magnetization: 0.00 μB/cell
- Electronic total energy: -10.41 eV for the cell shown
- Space group: P4/mmm, No. 123

Cell: 5.8707 5.1738 5.8707 Å, 90.00 90.00 90.00°
Atoms (fractional coordinates):
Zn  0.5000  0.5000  0.5000
Tl  0.0000  0.0000  0.0000
Bi  0.0000  0.0000  0.5000
Bi  0.5000  0.0000  0.0000
Li  0.0000  0.5000  0.0000


Record 5
LiTlZnBi: optimized geometry, GGA-PBE.

- Energy of formation: -84 meV per atom
- Spin magnetization: 0.00 μB/cell
- Electronic total energy: -9.77 eV for the cell shown
- Space group: F-43m, No. 216

Cell: 5.1484 5.1484 5.1484 Å, 60.00 60.00 60.00°
Atoms (fractional coordinates):
Li  0.5000  0.5000  0.5000
Zn  0.0000  0.0000  0.0000
Bi  0.7500  0.7500  0.7500
Tl  0.2500  0.2500  0.2500


Record 6
LiTmBi2: optimized geometry, GGA-PBE.

- Energy of formation: -438 meV per atom
- Spin magnetization: 0.00 μB/cell
- Electronic total energy: -15.90 eV for the cell shown
- Space group: R3m, No. 160

Cell: 4.6729 4.6729 6.8861 Å, 70.17 70.17 60.00°
Atoms (fractional coordinates):
Li  0.4912  0.4912  0.5264
Bi  0.0870  0.0870  0.7389
Bi  0.2509  0.2509  0.2473
Tm  0.6709  0.6709  0.9874


Record 7
LiTm5Bi6: optimized geometry, GGA-PBE.

- Energy of formation: -634 meV per atom
- Spin magnetization: 0.00 μB/cell
- Electronic total energy: -55.17 eV for the cell shown
- Space group: C2/m, No. 12

Cell: 7.6562 7.6546 7.6667 Å, 60.05 80.44 70.57°
Atoms (fractional coordinates):
Bi  0.7524  0.4128  0.6702
Bi  0.7524  0.0830  0.3298
Bi  0.2476  0.9170  0.6702
Bi  0.2476  0.5872  0.3298
Bi  0.2491  0.2482  0.0000
Bi  0.7509  0.7518  0.0000
Li  0.0000  0.0000  0.0000
Tm  0.0000  0.3326  0.3348
Tm  0.5000  0.1665  0.6670
Tm  0.5000  0.5000  0.0000
Tm  0.5000  0.8335  0.3330
Tm  0.0000  0.6674  0.6652


Record 8
Li7TmBi4: optimized geometry, GGA-PBE.

- Energy of formation: -259 meV per atom
- Spin magnetization: 0.36 μB/cell
- Electronic total energy: -36.50 eV for the cell shown
- Space group: C2/m, No. 12

Cell: 5.1690 8.9309 6.8202 Å, 85.77 67.73 73.18°
Atoms (fractional coordinates):
Bi  0.5821  0.2211  0.6147
Bi  0.4179  0.7789  0.3853
Bi  0.2898  0.2979  0.1225
Bi  0.7102  0.7021  0.8775
Li  0.9300  0.3649  0.7751
Li  0.3485  0.5578  0.7452
Li  0.5000  0.0000  0.0000
Li  0.6515  0.4422  0.2548
Li  0.2188  0.0963  0.4662
Li  0.0700  0.6351  0.2249
Li  0.7812  0.9037  0.5338
Tm  0.0000  0.0000  0.0000


Record 9
LiTm3Bi3: optimized geometry, GGA-PBE.

- Energy of formation: -556 meV per atom
- Spin magnetization: 0.00 μB/cell
- Electronic total energy: -61.72 eV for the cell shown
- Space group: R-3, No. 148

Cell: 8.9859 8.9859 8.0665 Å, 56.15 56.15 60.00°
Atoms (fractional coordinates):
Bi  0.0736  0.7033  0.7502
Bi  0.9264  0.2967  0.2498
Bi  0.4729  0.0736  0.7502
Bi  0.7033  0.4729  0.7502
Bi  0.2967  0.5271  0.2498
Bi  0.5271  0.9264  0.2498
Li  0.6694  0.6694  0.9917
Li  0.3306  0.3306  0.0083
Tm  0.8104  0.0874  0.7555
Tm  0.6533  0.1896  0.2445
Tm  0.1896  0.9126  0.2445
Tm  0.3467  0.8104  0.7555
Tm  0.9126  0.6533  0.2445
Tm  0.0874  0.3467  0.7555


Record 10
LiTmBi2: optimized geometry, GGA-PBE.

- Energy of formation: -375 meV per atom
- Spin magnetization: 0.00 μB/cell
- Electronic total energy: -15.65 eV for the cell shown
- Space group: R-3m, No. 166

Cell: 3.9134 3.9134 8.8510 Å, 77.23 77.23 60.00°
Atoms (fractional coordinates):
Bi  0.2540  0.2540  0.2379
Bi  0.7460  0.7460  0.7621
Tm  0.5000  0.5000  0.5000
Li  0.0000  0.0000  0.0000


Record 11
LiTm5Bi4: optimized geometry, GGA-PBE.

- Energy of formation: -517 meV per atom
- Spin magnetization: 0.76 μB/cell
- Electronic total energy: -44.97 eV for the cell shown
- Space group: I4, No. 79

Cell: 6.2909 7.5573 7.5573 Å, 80.02 65.40 65.40°
Atoms (fractional coordinates):
Bi  0.1751  0.1878  0.3832
Bi  0.7460  0.8122  0.6168
Bi  0.5582  0.6168  0.1878
Bi  0.3629  0.3832  0.8122
Tm  0.0558  0.5989  0.2096
Tm  0.8642  0.4011  0.7904
Tm  0.2653  0.7904  0.5989
Tm  0.6546  0.2096  0.4011
Tm  0.6595  0.0000  0.0000
Li  0.1686  0.0000  0.0000


Record 12
Li2Tm3Bi3: optimized geometry, GGA-PBE.

- Energy of formation: -634 meV per atom
- Spin magnetization: 0.00 μB/cell
- Electronic total energy: -67.92 eV for the cell shown
- Space group: P6_3/mcm, No. 193

Cell: 6.2209 8.8593 8.8593 Å, 120.00 90.00 90.00°
Atoms (fractional coordinates):
Tm  0.7500  0.7571  0.7571
Tm  0.2500  0.2429  0.2429
Tm  0.2500  0.7571  0.0000
Tm  0.2500  0.0000  0.7571
Tm  0.7500  0.2429  0.0000
Tm  0.7500  0.0000  0.2429
Li  0.5000  0.6667  0.3333
Li  0.5000  0.3333  0.6667
Li  0.0000  0.6667  0.3333
Li  0.0000  0.3333  0.6667
Bi  0.7500  0.6050  0.0000
Bi  0.2500  0.0000  0.3950
Bi  0.2500  0.6050  0.6050
Bi  0.7500  0.3950  0.3950
Bi  0.2500  0.3950  0.0000
Bi  0.7500  0.0000  0.6050